Crystalline MgFe4P4O16 at its relaxed geometry. Source: the Alexandria database, functional PBE+U.

Geometry as POSCAR:
```
MgFe4P4O16
1.0
5.309 0.018 0.005
-2.195 -7.758 -0.089
-0.546 -0.027 -8.787
Mg Fe P O
1 4 4 16
direct
0.507 0.999 0.001
0.553 0.800 0.516
0.945 0.689 0.011
0.069 0.310 0.992
0.461 0.199 0.487
0.145 0.813 0.681
0.412 0.704 0.173
0.602 0.294 0.830
0.869 0.185 0.321
0.318 0.966 0.586
0.274 0.852 0.163
0.191 0.851 0.854
0.643 0.770 0.065
0.262 0.666 0.635
0.852 0.780 0.637
0.511 0.669 0.335
0.208 0.543 0.106
0.806 0.456 0.897
0.502 0.330 0.668
0.163 0.219 0.366
0.753 0.332 0.368
0.370 0.228 0.938
0.823 0.148 0.149
0.740 0.147 0.840
0.697 0.032 0.417
```

Computed properties:
Its volume is 14.459 Å³/atom. As for the symmetry: P-1, No. 2. For the excess energy over the best structure of this formula in the dataset, the calculation gives 4 kJ/mol of formula units.